Here is a relaxed SiNiO2 crystal from the Alexandria database. Energies are from PBE with a Hubbard U.

Geometry as POSCAR:
```
SiNiO2
1.0
1.532 0.000 8.868
-0.766 1.327 8.868
-0.766 -1.327 8.868
Si Ni O
1 1 2
Direct
0.500 0.500 0.500 Si
0.000 0.000 0.000 Ni
0.868 0.868 0.868 O
0.132 0.132 0.132 O
```

Properties
The total energy is -5.8061 eV per atom. As for the symmetry: R-3m, No. 166.